1) ## ZrInIO2 (PBE)

Data for a relaxed structure of ZrInIO2.

As for the theoretical density: 5.8 g/cm3. As for the size of the total moment: 1.50 μB/f.u.

The structure belongs to space group P4/mmm (No. 123); the cell edges are 4.316, 4.316 and 5.636 Å and the angles 90.00°, 90.00° and 90.00°. Symmetry generates all atoms from Zr at (0.000, 0.000, 0.000), In at (0.500, 0.500, 0.500), I at (0.500, 0.500, 0.000) and O at (0.000, 0.500, 0.500).

---

2) ## ZrInIO2 (PBE)

Data for a relaxed structure of ZrInIO2.

As for the theoretical density: 5.5 g/cm3. As for the size of the total moment: 0.00 μB/f.u.

The structure belongs to space group P4/mmm (No. 123); the cell edges are 4.284, 4.284 and 6.038 Å and the angles 90.00°, 90.00° and 90.00°. Symmetry generates all atoms from Zr at (0.000, 0.000, 0.000), In at (0.500, 0.500, 0.500), I at (0.000, 0.000, 0.500) and O at (0.000, 0.500, 0.000).

---

The structure with the greatest stability is 2).

---

1) ## ZrInI2O (PBE)

Data for a relaxed structure of ZrInI2O.

As for the theoretical density: 5.5 g/cm3. As for the size of the total moment: 2.45 μB/f.u.

The structure belongs to space group P4/mmm (No. 123); the cell edges are 6.037, 6.037 and 3.916 Å and the angles 90.00°, 90.00° and 90.00°. Symmetry generates all atoms from Zr at (0.000, 0.000, 0.000), In at (0.500, 0.500, 0.500), I at (0.000, 0.500, 0.500) and O at (0.500, 0.500, 0.000).

---

2) ## ZrInI2O (PBE)

Data for a relaxed structure of ZrInI2O.

As for the theoretical density: 5.3 g/cm3. As for the size of the total moment: 0.82 μB/f.u.

The structure belongs to space group P4/mmm (No. 123); the cell edges are 6.077, 6.077 and 4.059 Å and the angles 90.00°, 90.00° and 90.00°. Symmetry generates all atoms from Zr at (0.000, 0.000, 0.000), In at (0.500, 0.500, 0.500), I at (0.000, 0.500, 0.000) and O at (0.000, 0.000, 0.500).

---

The structure with the greatest stability is 2).

---

1) ## InSb2OsI (PBE)

Data for a relaxed structure of InSb2OsI.

As for the theoretical density: 6.3 g/cm3. As for the size of the total moment: 2.76 μB/f.u.

The structure belongs to space group P4/mmm (No. 123); the cell edges are 5.598, 5.598 and 5.645 Å and the angles 90.00°, 90.00° and 90.00°. Symmetry generates all atoms from In at (0.000, 0.000, 0.000), Sb at (0.000, 0.500, 0.000), Os at (0.500, 0.500, 0.500) and I at (0.000, 0.000, 0.500).

---

2) ## InSb2OsI (PBE)

Data for a relaxed structure of InSb2OsI.

As for the theoretical density: 7.2 g/cm3. As for the size of the total moment: 0.00 μB/f.u.

The structure belongs to space group P4/mmm (No. 123); the cell edges are 5.092, 5.092 and 6.031 Å and the angles 90.00°, 90.00° and 90.00°. Symmetry generates all atoms from In at (0.000, 0.000, 0.000), Sb at (0.000, 0.500, 0.500), Os at (0.500, 0.500, 0.500) and I at (0.500, 0.500, 0.000).

---

The structure with the greatest stability is 2).

---

1) ## InPI3 (PBE)

Data for a relaxed structure of InPI3.

As for the theoretical density: 4.2 g/cm3. As for the size of the total moment: 2.70 μB/f.u.

The structure belongs to space group Pm-3m (No. 221); the cell edges are 5.950, 5.950 and 5.950 Å and the angles 90.00°, 90.00° and 90.00°. Symmetry generates all atoms from In at (0.000, 0.000, 0.000), P at (0.500, 0.500, 0.500) and I at (0.000, 0.000, 0.500).

---

2) ## InPI3 (PBE)

Data for a relaxed structure of InPI3.

As for the theoretical density: 4.9 g/cm3. As for the size of the total moment: 0.00 μB/f.u.

The structure belongs to space group Pm-3m (No. 221); the cell edges are 5.628, 5.628 and 5.628 Å and the angles 90.00°, 90.00° and 90.00°. Symmetry generates all atoms from In at (0.000, 0.000, 0.000), P at (0.500, 0.500, 0.500) and I at (0.000, 0.500, 0.500).

---

The structure with the greatest stability is 2).

---

1) ## InP2I (PBE)

Data for a relaxed structure of InP2I.

As for the theoretical density: 5.7 g/cm3. As for the size of the total moment: 0.00 μB/f.u.

The structure belongs to space group Fm-3m (No. 225); the cell edges are 7.061, 7.061 and 7.061 Å and the angles 90.00°, 90.00° and 90.00°. Symmetry generates all atoms from In at (0.000, 0.000, 0.000), P at (0.250, 0.250, 0.250) and I at (0.000, 0.000, 0.500).

---

2) ## InP2I (PBE)

Data for a relaxed structure of InP2I.

As for the theoretical density: 4.2 g/cm3. As for the size of the total moment: 0.00 μB/f.u.

The structure belongs to space group I-42d (No. 122); the cell edges are 5.716, 5.716 and 14.628 Å and the angles 90.00°, 90.00° and 90.00°. Symmetry generates all atoms from In at (0.000, 0.000, 0.000), P at (0.227, 0.250, 0.125) and I at (0.000, 0.000, 0.500).

---

The structure with the greatest stability is 2).

---

1) ## In3PI (PBE)

Data for a relaxed structure of In3PI.

As for the theoretical density: 3.4 g/cm3. As for the size of the total moment: 1.00 μB/f.u.

The structure belongs to space group Pm-3m (No. 221); the cell edges are 6.283, 6.283 and 6.283 Å and the angles 90.00°, 90.00° and 90.00°. Symmetry generates all atoms from In at (0.000, 0.000, 0.500), P at (0.500, 0.500, 0.500) and I at (0.000, 0.000, 0.000).

---

2) ## In3PI (PBE)

Data for a relaxed structure of In3PI.

As for the theoretical density: 5.2 g/cm3. As for the size of the total moment: 0.00 μB/f.u.

The structure belongs to space group Pm-3m (No. 221); the cell edges are 5.440, 5.440 and 5.440 Å and the angles 90.00°, 90.00° and 90.00°. Symmetry generates all atoms from In at (0.000, 0.000, 0.500), P at (0.000, 0.000, 0.000) and I at (0.500, 0.500, 0.500).

---

The structure with the greatest stability is 2).

---

1) ## In2P2I (PBE)

Data for a relaxed structure of In2P2I.

As for the theoretical density: 5.8 g/cm3. As for the size of the total moment: 0.00 μB/f.u.

The structure belongs to space group I4/mmm (No. 139); the cell edges are 5.183, 5.183 and 8.960 Å and the angles 90.00°, 90.00° and 90.00°. Symmetry generates all atoms from In at (0.000, 0.500, 0.250), P at (0.000, 0.000, 0.124) and I at (0.000, 0.000, 0.500).

---

2) ## In2P2I (PBE)

Data for a relaxed structure of In2P2I.

As for the theoretical density: 5.6 g/cm3. As for the size of the total moment: 0.00 μB/f.u.

The structure belongs to space group I4/mmm (No. 139); the cell edges are 4.381, 4.381 and 12.969 Å and the angles 90.00°, 90.00° and 90.00°. Symmetry generates all atoms from In at (0.000, 0.000, 0.117), P at (0.000, 0.500, 0.250) and I at (0.000, 0.000, 0.500).

---

The structure with the greatest stability is 1).

---

1) ## InSb2PI (PBE)

Data for a relaxed structure of InSb2PI.

As for the theoretical density: 4.5 g/cm3. As for the size of the total moment: 0.59 μB/f.u.

The structure belongs to space group P4/mmm (No. 123); the cell edges are 5.729, 5.729 and 5.806 Å and the angles 90.00°, 90.00° and 90.00°. Symmetry generates all atoms from In at (0.000, 0.000, 0.000), Sb at (0.000, 0.500, 0.000), P at (0.500, 0.500, 0.500) and I at (0.000, 0.000, 0.500).

---

2) ## InSb2PI (PBE)

Data for a relaxed structure of InSb2PI.

As for the theoretical density: 5.5 g/cm3. As for the size of the total moment: 0.00 μB/f.u.

The structure belongs to space group P4/mmm (No. 123); the cell edges are 5.344, 5.344 and 5.480 Å and the angles 90.00°, 90.00° and 90.00°. Symmetry generates all atoms from In at (0.000, 0.000, 0.000), Sb at (0.000, 0.500, 0.500), P at (0.500, 0.500, 0.500) and I at (0.500, 0.500, 0.000).

---

The structure with the greatest stability is 2).

---

1) ## InSbPI2 (PBE)

Data for a relaxed structure of InSbPI2.

As for the theoretical density: 5.2 g/cm3. As for the size of the total moment: 0.00 μB/f.u.

The structure belongs to space group P4/mmm (No. 123); the cell edges are 5.515, 5.515 and 5.464 Å and the angles 90.00°, 90.00° and 90.00°. Symmetry generates all atoms from In at (0.000, 0.000, 0.000), Sb at (0.500, 0.500, 0.000), P at (0.500, 0.500, 0.500) and I at (0.000, 0.500, 0.500).

---

2) ## InSbPI2 (PBE)

Data for a relaxed structure of InSbPI2.

As for the theoretical density: 4.2 g/cm3. As for the size of the total moment: 1.23 μB/f.u.

The structure belongs to space group P4/mmm (No. 123); the cell edges are 5.878, 5.878 and 5.952 Å and the angles 90.00°, 90.00° and 90.00°. Symmetry generates all atoms from In at (0.000, 0.000, 0.000), Sb at (0.000, 0.000, 0.500), P at (0.500, 0.500, 0.500) and I at (0.000, 0.500, 0.000).

---

The structure with the greatest stability is 1).

---

1) ## PaIn2I8 (PBE)

Data for a relaxed structure of PaIn2I8.

As for the theoretical density: 3.9 g/cm3. As for the size of the total moment: 0.95 μB/f.u.

The structure belongs to space group C2/m (No. 12); the cell edges are 13.826, 11.012 and 10.096 Å and the angles 90.00°, 125.94° and 90.00°. Symmetry generates all atoms from Pa at (0.000, 0.000, 0.000), In at (0.091, 0.000, 0.670), I at (0.036, 0.197, 0.812), I at (0.170, 0.500, 0.181) and I at (0.242, 0.500, 0.740).

---

2) ## PaIn2I8 (PBE)

Data for a relaxed structure of PaIn2I8.

As for the theoretical density: 4.5 g/cm3. As for the size of the total moment: 0.00 μB/f.u.

The structure belongs to space group C2/m (No. 12); the cell edges are 14.237, 8.353 and 9.152 Å and the angles 90.00°, 90.47° and 90.00°. Symmetry generates all atoms from Pa at (0.000, 0.000, 0.000), In at (0.113, 0.000, 0.470), I at (0.070, 0.249, 0.205), I at (0.176, 0.000, 0.836) and I at (0.190, 0.500, 0.585).

---

The structure with the greatest stability is 1).

---

1) ## Pa2InI8 (PBE)

Data for a relaxed structure of Pa2InI8.

As for the theoretical density: 4.4 g/cm3. As for the size of the total moment: 3.00 μB/f.u.

The structure belongs to space group P-3 (No. 147); the cell edges are 10.6029, 10.6029 and 6.2220 Å and the angles 90.00°, 90.00° and 120.00°. Symmetry generates all atoms from Pa at (0.3333, 0.6667, 0.2457), In at (0.0000, 0.0000, 0.0000), I at (0.1710, 0.3438, 0.2563) and I at (0.3333, 0.6667, 0.7482).

---

2) ## Pa2InI8 (PBE)

Data for a relaxed structure of Pa2InI8.

As for the theoretical density: 4.1 g/cm3. As for the size of the total moment: 2.72 μB/f.u.

The structure belongs to space group C2/m (No. 12); the cell edges are 10.437, 13.553 and 9.212 Å and the angles 90.00°, 93.01° and 90.00°. Symmetry generates all atoms from Pa at (0.137, 0.000, 0.184), In at (0.000, 0.000, 0.500), I at (0.087, 0.500, 0.748), I at (0.111, 0.203, 0.294) and I at (0.169, 0.000, 0.859).

---

The structure with the greatest stability is 2).

---

1) ## In2PbI4 (PBE)

Data for a relaxed structure of In2PbI4.

As for the theoretical density: 4.6 g/cm3. As for the size of the total moment: 0.00 μB/f.u.

The structure belongs to space group I4/mmm (No. 139); the cell edges are 6.416, 6.416 and 16.598 Å and the angles 90.00°, 90.00° and 90.00°. Symmetry generates all atoms from In at (0.000, 0.000, 0.122), Pb at (0.000, 0.000, 0.500), I at (0.000, 0.000, 0.309) and I at (0.000, 0.500, 0.000).

---

2) ## In2PbI4 (PBE)

Data for a relaxed structure of In2PbI4.

As for the theoretical density: 4.8 g/cm3. As for the size of the total moment: 0.00 μB/f.u.

The structure belongs to space group C2/m (No. 12); the cell edges are 17.109, 4.697 and 9.341 Å and the angles 90.00°, 118.67° and 90.00°. Symmetry generates all atoms from In at (0.214, 0.000, 0.189), Pb at (0.000, 0.500, 0.500), I at (0.115, 0.500, 0.897) and I at (0.134, 0.000, 0.502).

---

The structure with the greatest stability is 2).